(1)
The following is a DFT calculation (PBE) of crystalline Th2ZnTcN5 at its relaxed geometry.

Structure (POSCAR):
```
Th2ZnTcN5
1.0
3.4584 0.0000 0.0000
-1.7292 6.9795 0.0000
0.0000 0.0000 9.6867
Th Zn Tc N
4 2 2 10
Cartesian
1.7292 5.1524 7.6435
0.0000 1.7596 6.9626
0.0000 1.8271 2.8001
1.7292 5.2198 2.1192
1.7292 0.1610 9.5641
0.0000 6.8185 4.7208
1.7292 3.9875 4.9096
0.0000 2.9920 0.0663
0.0000 4.9649 0.1054
1.7292 2.8811 8.4284
1.7292 0.0027 7.4696
0.0000 4.0307 6.2677
1.7292 5.9365 5.0640
1.7292 2.0146 4.9487
0.0000 4.0984 3.5850
0.0000 6.9768 2.6263
1.7292 2.9488 1.4244
0.0000 1.0429 0.2207
```

Computed properties:
E_form (uncorrected) in eV/f.u.: -6.7
Total moment in μB/cell: 0.00
Symmetry: Cmc2_1, No. 36
Total DFT energy (no corrections) in Ry/atom: -0.611
Fermi-level density of states in states/eV per atom: 0.094

***

(2)
The following is a DFT calculation (PBE) of crystalline Pm3Pr2PuTe6 at its relaxed geometry.

Structure (POSCAR):
```
Pm3Pr2PuTe6
1.0
4.4623 0.0000 0.0000
0.0000 9.0017 0.3173
-2.2312 -2.5971 9.4225
Pm Pr Pu Te
3 2 1 6
Cartesian
2.2312 4.5009 0.1587
2.2312 -0.2376 6.2864
0.0000 6.6422 3.4534
2.2312 4.2762 6.5017
0.0000 2.1284 3.2381
2.2312 0.0000 0.0000
0.0000 6.5486 6.6112
2.2312 4.4173 3.3075
2.2312 -0.1440 3.1286
2.2312 -0.3673 9.4587
0.0000 6.7719 0.2812
0.0000 1.9873 6.4324
```

Computed properties:
E_form (uncorrected) in eV/f.u.: -16.5
Total moment in μB/cell: 6.04
Symmetry: C2/m, No. 12
Total DFT energy (no corrections) in Ry/atom: -0.450
Fermi-level density of states in states/eV per atom: 1.183

***

(3)
The following is a DFT calculation (PBE) of crystalline V2FeReAu at its relaxed geometry.

Structure (POSCAR):
```
V2FeReAu
1.0
4.7350 0.0000 0.0000
0.0000 4.8894 0.0000
0.0000 0.0000 4.7350
Re Au Fe V
1 1 1 2
Cartesian
0.0000 2.4447 0.0000
0.0000 0.0000 0.0000
2.3675 2.4447 2.3675
0.0000 0.0000 2.3675
2.3675 0.0000 0.0000
```

Computed properties:
DFT formation energy in eV per atom: 2.402
Total moment in μB/cell: 3.40
Symmetry: P4/mmm, No. 123
Total DFT energy (no corrections) in Ry/atom: -0.447
Fermi-level density of states in states/eV per atom: 2.250

***

(4)
The following is a DFT calculation (PBE) of crystalline PuPaTl2 at its relaxed geometry.

Structure (POSCAR):
```
PuPaTl2
1.0
-3.7153 3.0733 0.5481
-0.6300 -1.5377 4.3510
2.9292 3.2601 1.5762
Tl Pa Pu
2 1 1
Cartesian
1.4646 1.6300 0.7881
-0.3150 -0.7688 2.1755
-0.7081 2.3978 3.2377
-1.8577 1.5366 0.2741
```

Computed properties:
DFT formation energy in eV per atom: 0.079
Total moment in μB/cell: 7.61
Symmetry: P4/mmm, No. 123
Total DFT energy (no corrections) in Ry/atom: -0.519
Relative energy among the computed polymorphs in eV/atom: 0.000
Fermi-level density of states in states/eV per atom: 2.407

***

(5)
The following is a DFT calculation (PBE) of crystalline CaCrRu2Cl at its relaxed geometry.

Structure (POSCAR):
```
CaCrRu2Cl
1.0
4.7522 0.0000 0.0000
0.0000 5.1028 0.0000
0.0000 0.0000 4.7522
Ru Ca Cl Cr
2 1 1 1
Cartesian
0.0000 0.0000 2.3761
2.3761 0.0000 0.0000
0.0000 0.0000 0.0000
2.3761 2.5514 2.3761
0.0000 2.5514 0.0000
```

Computed properties:
E_form (uncorrected) in eV/f.u.: 13.2
Total moment in μB/cell: 0.52
Symmetry: P4/mmm, No. 123
Total DFT energy (no corrections) in Ry/atom: -0.277
Fermi-level density of states in states/eV per atom: 3.613

***

(6)
The following is a DFT calculation (PBE) of crystalline Si2AsIr at its relaxed geometry.

Structure (POSCAR):
```
Si2AsIr
1.0
-0.0700 -2.5125 -1.2315
4.1526 -1.1540 2.1185
-2.2733 -1.6739 3.5444
As Ir Si
1 1 2
Cartesian
-1.1717 -2.0932 1.1565
0.9396 -1.4139 2.8314
0.0000 0.0000 0.0000
2.0413 -1.8332 0.4435
```

Computed properties:
E_form (uncorrected) in eV/f.u.: 1.4
Total moment in μB/cell: 0.00
Symmetry: Pmmm, No. 47
Total DFT energy (no corrections) in Ry/atom: -0.422
Fermi-level density of states in states/eV per atom: 0.495

***

(7)
The following is a DFT calculation (PBE) of crystalline PPbBrCl2 at its relaxed geometry.

Structure (POSCAR):
```
PPbBrCl2
1.0
-3.6015 -1.9242 -3.4566
-3.0772 -1.5753 4.0830
-2.6814 5.1084 -0.0499
Pb P Br Cl
1 1 1 2
Cartesian
-4.6800 0.8045 0.2882
-1.3407 2.5542 -0.0250
0.0000 0.0000 0.0000
-1.5386 -0.7876 2.0415
-1.8007 -0.9621 -1.7283
```

Computed properties:
E_form (uncorrected) in eV/f.u.: 2.5
Total moment in μB/cell: 0.31
Symmetry: P4/mmm, No. 123
Total DFT energy (no corrections) in Ry/atom: -0.177
Relative energy among the computed polymorphs in eV/atom: 0.313
Fermi-level density of states in states/eV per atom: 0.452

***

(8)
The following is a DFT calculation (PBE) of crystalline Cs2UB2O6 at its relaxed geometry.

Structure (POSCAR):
```
Cs2UB2O6
1.0
-4.5444 3.3228 -0.2118
-0.4213 -5.4411 -1.3988
0.2952 0.8993 7.7653
Cs U B O
2 1 2 6
Cartesian
-3.3883 0.1659 0.3774
-1.2822 -1.3850 5.7773
-2.1246 2.1110 3.7768
-4.1896 -0.6998 3.9860
-0.4809 -0.5192 2.1687
-3.4244 0.3751 4.4319
-1.0657 0.7355 2.3215
-1.0062 -3.8546 3.9545
-3.6048 -1.9546 3.8333
-3.6643 2.6356 2.2003
-1.2460 -1.5942 1.7229
```

Computed properties:
E_form (uncorrected) in eV/f.u.: -27.5
Total moment in μB/cell: 2.00
Symmetry: R-3m, No. 166
Total DFT energy (no corrections) in Ry/atom: -0.559
Fermi-level density of states in states/eV per atom: 0.592